This record from Alexandria describes crystalline Pm7SnRh4 at its relaxed geometry. The functional is PBE.

Properties
SG = C2/m, No. 12
ΔE_f = -0.412 eV per atom

Unit cell a=7.3780 b=7.3780 c=9.7344 alpha=121.92 beta=121.92 gamma=46.49
Fractional coordinates of all 12 atoms:
Pm (0.0000, 0.0000, 0.0000)
Pm (0.1828, 0.1828, 0.6323)
Pm (0.2963, 0.2963, 0.1113)
Pm (0.4236, 0.4236, 0.6205)
Pm (0.5764, 0.5764, 0.3795)
Pm (0.7037, 0.7037, 0.8887)
Pm (0.8172, 0.8172, 0.3677)
Sn (0.5000, 0.5000, 0.0000)
Rh (0.0640, 0.0640, 0.7720)
Rh (0.2029, 0.2029, 0.3413)
Rh (0.7971, 0.7971, 0.6587)
Rh (0.9360, 0.9360, 0.2280)

---

This record from Alexandria describes crystalline GaH3 at its relaxed geometry. The functional is PBE.

Properties
SG = P1, No. 1
E = -3.07 eV/atom

Unit cell a=2.8457 b=4.3218 c=4.5097 alpha=109.70 beta=90.32 gamma=90.11
Fractional coordinates of all 4 atoms:
Ga (0.0000, 0.0000, 0.0000)
H (0.0021, 0.3813, 0.0972)
H (0.5015, 0.9159, 0.1873)
H (0.9965, 0.7403, 0.6645)

---

This record from Alexandria describes crystalline Ag3AsOs at its relaxed geometry. The functional is PBE.

Properties
SG = Pm-3m, No. 221
ΔE_f = 1.669 eV per atom

Unit cell a=5.0692 b=5.0692 c=5.0692 alpha=90.00 beta=90.00 gamma=90.00
Fractional coordinates of all 5 atoms:
Ag (0.0000, 0.0000, 0.5000)
Ag (0.0000, 0.5000, 0.0000)
Ag (0.5000, 0.0000, 0.0000)
As (0.5000, 0.5000, 0.5000)
Os (0.0000, 0.0000, 0.0000)

---

This record from Alexandria describes crystalline SbSe2Br2 at its relaxed geometry. The functional is PBE.

Properties
SG = C2/m, No. 12
E = -3.12 eV/atom

Unit cell a=8.1185 b=8.1185 c=8.0704 alpha=99.98 beta=99.98 gamma=126.56
Fractional coordinates of all 10 atoms:
Sb (0.1643, 0.8357, 0.0000)
Sb (0.8357, 0.1643, 0.0000)
Se (0.0993, 0.0993, 0.2593)
Se (0.2847, 0.2847, 0.0856)
Se (0.7153, 0.7153, 0.9144)
Se (0.9007, 0.9007, 0.7407)
Br (0.0044, 0.4418, 0.7684)
Br (0.4418, 0.0044, 0.7684)
Br (0.5582, 0.9956, 0.2316)
Br (0.9956, 0.5582, 0.2316)

---

This record from Alexandria describes crystalline NaMoOsRh2 at its relaxed geometry. The functional is PBE.

Properties
SG = P4/mmm, No. 123
ΔE_f = 2.030 eV per atom

Unit cell a=4.6105 b=4.6105 c=4.8548 alpha=90.00 beta=90.00 gamma=90.00
Fractional coordinates of all 5 atoms:
Na (0.0000, 0.0000, 0.0000)
Mo (0.0000, 0.0000, 0.5000)
Os (0.5000, 0.5000, 0.0000)
Rh (0.0000, 0.5000, 0.5000)
Rh (0.5000, 0.0000, 0.5000)

---

This record from Alexandria describes crystalline BaYAg10 at its relaxed geometry. The functional is PBE.

Properties
SG = Pmmm, No. 47
ΔE_f = -0.117 eV per atom

Unit cell a=4.7030 b=5.7131 c=9.9165 alpha=90.00 beta=90.00 gamma=90.00
Fractional coordinates of all 12 atoms:
Ba (0.0000, 0.0000, 0.0000)
Y (0.0000, 0.5000, 0.5000)
Ag (0.0000, 0.0000, 0.3449)
Ag (0.0000, 0.0000, 0.6551)
Ag (0.0000, 0.5000, 0.1840)
Ag (0.0000, 0.5000, 0.8160)
Ag (0.5000, 0.0000, 0.5000)
Ag (0.5000, 0.2556, 0.2603)
Ag (0.5000, 0.2556, 0.7397)
Ag (0.5000, 0.5000, 0.0000)
Ag (0.5000, 0.7444, 0.2603)
Ag (0.5000, 0.7444, 0.7397)

---

This record from Alexandria describes crystalline Mg6TlPt at its relaxed geometry. The functional is PBE.

Properties
SG = C2/m, No. 12
ΔE_f = -0.046 eV per atom

Unit cell a=5.9552 b=9.8500 c=7.3881 alpha=90.00 beta=104.68 gamma=90.00
Fractional coordinates of all 16 atoms:
Mg (0.2141, 0.0000, 0.2025)
Mg (0.2414, 0.3126, 0.2063)
Mg (0.2414, 0.6874, 0.2063)
Mg (0.2586, 0.1874, 0.7937)
Mg (0.2586, 0.8126, 0.7937)
Mg (0.2859, 0.5000, 0.7975)
Mg (0.7141, 0.5000, 0.2025)
Mg (0.7414, 0.1874, 0.2063)
Mg (0.7414, 0.8126, 0.2063)
Mg (0.7586, 0.3126, 0.7937)
Mg (0.7586, 0.6874, 0.7937)
Mg (0.7859, 0.0000, 0.7975)
Tl (0.0000, 0.0000, 0.5000)
Tl (0.5000, 0.5000, 0.5000)
Pt (0.0000, 0.5000, 0.0000)
Pt (0.5000, 0.0000, 0.0000)

---

This record from Alexandria describes crystalline HOsAu3 at its relaxed geometry. The functional is PBE.

Properties
SG = Pm-3m, No. 221
E = -3.21 eV/atom

Unit cell a=5.0664 b=5.0664 c=5.0664 alpha=90.00 beta=90.00 gamma=90.00
Fractional coordinates of all 5 atoms:
H (0.0000, 0.0000, 0.0000)
Os (0.5000, 0.5000, 0.5000)
Au (0.0000, 0.5000, 0.5000)
Au (0.5000, 0.0000, 0.5000)
Au (0.5000, 0.5000, 0.0000)

---

This record from Alexandria describes crystalline BeReTc2 at its relaxed geometry. The functional is PBE.

Properties
SG = P4mm, No. 99
ΔE_f = 0.019 eV per atom

Unit cell a=3.0034 b=3.0034 c=5.8594 alpha=90.00 beta=90.00 gamma=90.00
Fractional coordinates of all 4 atoms:
Be (0.0000, 0.0000, 0.0000)
Re (0.5000, 0.5000, 0.2219)
Tc (0.0000, 0.0000, 0.4878)
Tc (0.5000, 0.5000, 0.7862)

---

This record from Alexandria describes crystalline LaNd2HoBi4 at its relaxed geometry. The functional is PBE.

Properties
SG = P2/m, No. 10
ΔE_f = -0.939 eV per atom

Unit cell a=7.9590 b=4.6050 c=7.9698 alpha=90.00 beta=109.47 gamma=90.00
Fractional coordinates of all 8 atoms:
La (0.0000, 0.0000, 0.0000)
Nd (0.0000, 0.5000, 0.5000)
Nd (0.5000, 0.0000, 0.5000)
Ho (0.5000, 0.5000, 0.0000)
Bi (0.2561, 0.5000, 0.2495)
Bi (0.2578, 0.0000, 0.7551)
Bi (0.7422, 0.0000, 0.2449)
Bi (0.7439, 0.5000, 0.7505)

---

This record from Alexandria describes crystalline Cu2RhAu at its relaxed geometry. The functional is PBE.

Properties
SG = R-3m, No. 166
ΔE_f = 0.088 eV per atom

Unit cell a=2.7571 b=2.7571 c=26.2341 alpha=90.00 beta=90.00 gamma=120.00
Fractional coordinates of all 12 atoms:
Cu (0.0000, 0.0000, 0.2467)
Cu (0.0000, 0.0000, 0.7533)
Cu (0.3333, 0.6667, 0.4200)
Cu (0.3333, 0.6667, 0.9133)
Cu (0.6667, 0.3333, 0.0867)
Cu (0.6667, 0.3333, 0.5800)
Rh (0.0000, 0.0000, 0.5000)
Rh (0.3333, 0.6667, 0.1667)
Rh (0.6667, 0.3333, 0.8333)
Au (0.0000, 0.0000, 0.0000)
Au (0.3333, 0.6667, 0.6667)
Au (0.6667, 0.3333, 0.3333)

---

This record from Alexandria describes crystalline VSbSI2 at its relaxed geometry. The functional is PBE.

Properties
SG = P4/mmm, No. 123
E = -3.58 eV/atom

Unit cell a=5.0912 b=5.0912 c=5.4626 alpha=90.00 beta=90.00 gamma=90.00
Fractional coordinates of all 5 atoms:
V (0.0000, 0.0000, 0.0000)
Sb (0.0000, 0.0000, 0.5000)
S (0.5000, 0.5000, 0.5000)
I (0.0000, 0.5000, 0.0000)
I (0.5000, 0.0000, 0.0000)